! PBE SrVICl2, relaxed; values from VASP
&SYSTEM
  ibrav = 0, nat = 5, ntyp = 4
/
ATOMIC_SPECIES
I 126.90 I.upf
Sr 87.62 Sr.upf
Cl 35.45 Cl.upf
V 50.94 V.upf
CELL_PARAMETERS angstrom
5.470 0.000 0.000
0.000 6.679 0.000
0.000 0.000 5.470
ATOMIC_POSITIONS crystal
I 0.000 0.500 0.000
Sr 0.000 0.000 0.000
Cl 0.000 0.000 0.500
Cl 0.500 0.000 0.000
V 0.500 0.500 0.500
! **Calculated volume**: 40.0 Å³/atom
! **SG**: P4/mmm
! **Energy relative to the elements, uncorrected**: -0.711 eV per atom

---

! PBE TaI3Cl, relaxed; values from VASP
&SYSTEM
  ibrav = 0, nat = 10, ntyp = 3
/
ATOMIC_SPECIES
Ta 180.95 Ta.upf
I 126.90 I.upf
Cl 35.45 Cl.upf
CELL_PARAMETERS angstrom
8.487 -0.674 0.032
-4.753 7.063 -0.032
-3.904 -2.004 7.295
ATOMIC_POSITIONS crystal
Ta 0.532 0.032 0.000
Ta 0.031 0.532 0.000
I 0.032 0.314 0.782
I 0.032 0.749 0.218
I 0.532 0.814 0.782
I 0.022 0.282 0.240
I 0.532 0.249 0.218
I 0.042 0.782 0.760
Cl 0.468 0.782 0.186
Cl 0.595 0.282 0.814
! **Calculated volume**: 41.4 Å³/atom
! **SG**: Imma
! **Energy relative to the elements, uncorrected**: -0.553 eV per atom

---

! PBE TaI3Cl, relaxed; values from VASP
&SYSTEM
  ibrav = 0, nat = 5, ntyp = 3
/
ATOMIC_SPECIES
I 126.90 I.upf
Cl 35.45 Cl.upf
Ta 180.95 Ta.upf
CELL_PARAMETERS angstrom
-5.449 0.369 0.401
-0.101 -4.644 2.899
0.535 2.878 4.628
ATOMIC_POSITIONS crystal
I 0.000 0.500 0.000
I 0.000 0.000 0.500
I 0.500 0.000 0.000
Cl 0.500 0.500 0.500
Ta 0.000 0.000 0.000
! **Calculated volume**: 32.8 Å³/atom
! **SG**: Pm-3m
! **Energy relative to the elements, uncorrected**: 0.006 eV per atom

---

! PBE TaICl2, relaxed; values from VASP
&SYSTEM
  ibrav = 0, nat = 4, ntyp = 3
/
ATOMIC_SPECIES
I 126.90 I.upf
Cl 35.45 Cl.upf
Ta 180.95 Ta.upf
CELL_PARAMETERS angstrom
0.000 3.532 3.532
3.532 0.000 3.532
3.532 3.532 0.000
ATOMIC_POSITIONS crystal
I 0.000 0.000 0.000
Cl 0.250 0.250 0.250
Cl 0.750 0.750 0.750
Ta 0.500 0.500 0.500
! **Calculated volume**: 22.0 Å³/atom
! **SG**: Fm-3m
! **Energy relative to the elements, uncorrected**: 0.678 eV per atom